[1]
Computed, not measured: crystalline LaGdZr2Sb2 at its relaxed geometry at the PBE-GGA level of DFT.

```
LaGdZr2Sb2
1.0
-2.1785 2.1785 8.5496
2.1785 -2.1785 8.5496
2.1785 2.1785 -8.5496
Gd La Sb Zr
1 1 2 2
Direct
0.6737 0.6737 0.0000
0.3215 0.3215 0.0000
0.1284 0.1284 0.0000
0.8737 0.8737 0.0000
0.5013 0.0013 0.5000
0.0013 0.5013 0.5000
```

Calculated values
Total DFT energy (no corrections) in eV per atom: -6.63
Volume in Å³/atom: 27.051


[2]
Computed, not measured: crystalline BeInCoSn at its relaxed geometry at the PBE-GGA level of DFT.

```
BeInCoSn
1.0
0.0000 3.1835 3.1835
3.1835 0.0000 3.1835
3.1835 3.1835 0.0000
Be Co In Sn
1 1 1 1
Direct
0.7500 0.7500 0.7500
0.2500 0.2500 0.2500
0.0000 0.0000 0.0000
0.5000 0.5000 0.5000
```

Calculated values
Total DFT energy (no corrections) in eV per atom: -3.94
Volume in Å³/atom: 16.132


[3]
Computed, not measured: crystalline LuNbTlTe3 at its relaxed geometry at the PBE-GGA level of DFT.

```
LuNbTlTe3
1.0
2.3594 2.6094 7.1926
-5.7335 -2.2806 -5.1024
1.1458 -10.8293 3.5528
Lu Nb Te Tl
2 2 6 2
Direct
0.5000 0.5000 0.0000
0.5000 0.5000 0.5000
0.9324 0.0676 0.2500
0.0676 0.9324 0.7500
0.8589 0.1411 0.0299
0.5606 0.4394 0.2500
0.8589 0.1411 0.4701
0.1411 0.8589 0.5299
0.4394 0.5606 0.7500
0.1411 0.8589 0.9701
0.2654 0.7346 0.2500
0.7346 0.2654 0.7500
```

Calculated values
Total DFT energy (no corrections) in eV per atom: -4.96
Volume in Å³/atom: 29.483


[4]
Computed, not measured: crystalline Zn2PbW at its relaxed geometry at the PBE-GGA level of DFT.

```
Zn2PbW
1.0
4.6153 0.7542 0.6108
1.5304 2.2708 3.8398
2.3502 -2.3475 3.3479
Pb W Zn
1 1 2
Direct
0.5000 0.5000 0.5000
0.2500 0.2500 0.2500
0.0000 0.0000 0.0000
0.7500 0.7500 0.7500
```

Calculated values
Total DFT energy (no corrections) in eV per atom: -3.84
Volume in Å³/atom: 18.544